Version P
## KBe3Cd (PBE)

Data for a geometry-optimized KBe3Cd structure.

Lattice parameters (Å, degrees): 4.672 4.672 4.672 90.00 90.00 90.00
Space group Pm-3m (No. 221)
One atom of each set of equivalent atoms:
K (0.000, 0.000, 0.000)
Be (0.000, 0.500, 0.500)
Cd (0.500, 0.500, 0.500)

Size of the total moment: 0.00 μB/f.u.



Version Q
## KBe3Cd (PBE)

Data for a geometry-optimized KBe3Cd structure.

Lattice parameters (Å, degrees): 5.745 5.745 5.745 90.00 90.00 90.00
Space group Pm-3m (No. 221)
One atom of each set of equivalent atoms:
K (0.000, 0.000, 0.000)
Be (0.000, 0.000, 0.500)
Cd (0.500, 0.500, 0.500)

Size of the total moment: 0.00 μB/f.u.



Stability comparison, relative energies in eV/atom: version P 0.000; version Q 1.206



Version P
## Li2BeCd (PBE)

Data for a geometry-optimized Li2BeCd structure.

Lattice parameters (Å, degrees): 9.224 3.120 4.523 90.00 112.72 90.00
Space group Cm (No. 8)
One atom of each set of equivalent atoms:
Li (0.000, 0.000, 0.000)
Li (0.232, 0.000, 0.774)
Be (0.227, 0.500, 0.296)
Cd (0.464, 0.000, 0.460)

Size of the total moment: 0.00 μB/f.u.



Version Q
## Li2BeCd (PBE)

Data for a geometry-optimized Li2BeCd structure.

Lattice parameters (Å, degrees): 2.778 4.464 4.966 90.00 101.15 90.00
Space group P2/m (No. 10)
One atom of each set of equivalent atoms:
Li (0.224, 0.000, 0.267)
Be (0.000, 0.500, 0.500)
Cd (0.500, 0.500, 0.000)

Size of the total moment: 0.00 μB/f.u.



Stability comparison, relative energies in eV/atom: version P 0.000; version Q 0.047



Version P
## LiBeCd (PBE)

Data for a geometry-optimized LiBeCd structure.

Lattice parameters (Å, degrees): 4.3503 4.3503 2.6613 90.00 90.00 120.00
Space group P3m1 (No. 156)
One atom of each set of equivalent atoms:
Li (0.0000, 0.0000, 0.0000)
Be (0.3333, 0.6667, 0.1835)
Cd (0.6667, 0.3333, 0.5882)

Size of the total moment: 0.00 μB/f.u.



Version Q
## LiBeCd (PBE)

Data for a geometry-optimized LiBeCd structure.

Lattice parameters (Å, degrees): 9.269 3.128 3.128 90.00 109.62 90.00
Space group Cm (No. 8)
One atom of each set of equivalent atoms:
Li (0.000, 0.000, 0.000)
Be (0.142, 0.500, 0.641)
Cd (0.315, 0.000, 0.315)

Size of the total moment: 0.00 μB/f.u.



Version R
## LiBeCd (PBE)

Data for a geometry-optimized LiBeCd structure.

Lattice parameters (Å, degrees): 5.917 5.917 5.917 90.00 90.00 90.00
Space group F-43m (No. 216)
One atom of each set of equivalent atoms:
Li (0.000, 0.000, 0.000)
Be (0.250, 0.250, 0.250)
Cd (0.000, 0.000, 0.500)

Size of the total moment: 0.00 μB/f.u.



Stability comparison, relative energies in eV/atom: version P 0.011; version Q 0.000; version R 0.184



Version P
## MgBeCd2 (PBE)

Data for a geometry-optimized MgBeCd2 structure.

Lattice parameters (Å, degrees): 3.055 3.055 7.897 90.00 90.00 90.00
Space group P4mm (No. 99)
One atom of each set of equivalent atoms:
Mg (0.000, 0.000, 0.000)
Be (0.500, 0.500, 0.210)
Cd (0.000, 0.000, 0.405)
Cd (0.500, 0.500, 0.709)

Size of the total moment: 0.00 μB/f.u.



Version Q
## MgBeCd2 (PBE)

Data for a geometry-optimized MgBeCd2 structure.

Lattice parameters (Å, degrees): 4.311 4.311 7.851 90.00 90.00 90.00
Space group I4/mmm (No. 139)
One atom of each set of equivalent atoms:
Mg (0.000, 0.000, 0.000)
Be (0.000, 0.000, 0.500)
Cd (0.000, 0.500, 0.250)

Size of the total moment: 0.00 μB/f.u.



Stability comparison, relative energies in eV/atom: version P 0.000; version Q 0.060



Version P
## MgBe2Cd2 (PBE)

Data for a geometry-optimized MgBe2Cd2 structure.

Lattice parameters (Å, degrees): 7.691 7.691 2.820 90.00 90.00 90.00
Space group P4/mbm (No. 127)
One atom of each set of equivalent atoms:
Mg (0.000, 0.000, 0.000)
Be (0.169, 0.331, 0.500)
Cd (0.134, 0.634, 0.000)

Size of the total moment: 0.00 μB/f.u.



Version Q
## MgBe2Cd2 (PBE)

Data for a geometry-optimized MgBe2Cd2 structure.

Lattice parameters (Å, degrees): 4.095 4.095 10.523 90.00 90.00 90.00
Space group I4/mmm (No. 139)
One atom of each set of equivalent atoms:
Mg (0.000, 0.000, 0.000)
Be (0.000, 0.000, 0.403)
Cd (0.000, 0.500, 0.250)

Size of the total moment: 0.00 μB/f.u.



Stability comparison, relative energies in eV/atom: version P 0.036; version Q 0.000



Version P
## Mg2BeCd2 (PBE)

Data for a geometry-optimized Mg2BeCd2 structure.

Lattice parameters (Å, degrees): 6.645 6.645 4.558 90.00 90.00 90.00
Space group P4/mbm (No. 127)
One atom of each set of equivalent atoms:
Mg (0.164, 0.336, 0.000)
Be (0.000, 0.000, 0.500)
Cd (0.155, 0.655, 0.500)

Size of the total moment: 0.00 μB/f.u.



Version Q
## Mg2BeCd2 (PBE)

Data for a geometry-optimized Mg2BeCd2 structure.

Lattice parameters (Å, degrees): 3.874 3.874 15.310 90.00 90.00 90.00
Space group I4/mmm (No. 139)
One atom of each set of equivalent atoms:
Mg (0.000, 0.000, 0.091)
Be (0.000, 0.000, 0.500)
Cd (0.000, 0.500, 0.250)

Size of the total moment: 0.00 μB/f.u.



Stability comparison, relative energies in eV/atom: version P 0.000; version Q 0.280



Version P
## Mn2BeCd (PBE)

Data for a geometry-optimized Mn2BeCd structure.

Lattice parameters (Å, degrees): 2.813 2.813 6.374 90.00 90.00 90.00
Space group P4mm (No. 99)
One atom of each set of equivalent atoms:
Mn (0.000, 0.000, 0.000)
Mn (0.500, 0.500, 0.197)
Be (0.000, 0.000, 0.389)
Cd (0.500, 0.500, 0.679)

Size of the total moment: 0.07 μB/f.u.



Version Q
## Mn2BeCd (PBE)

Data for a geometry-optimized Mn2BeCd structure.

Lattice parameters (Å, degrees): 6.034 6.034 6.034 90.00 90.00 90.00
Space group F-43m (No. 216)
One atom of each set of equivalent atoms:
Mn (0.000, 0.000, 0.000)
Mn (0.250, 0.250, 0.250)
Be (0.000, 0.000, 0.500)
Cd (0.250, 0.250, 0.750)

Size of the total moment: 0.05 μB/f.u.



Version R
## Mn2BeCd (PBE)

Data for a geometry-optimized Mn2BeCd structure.

Lattice parameters (Å, degrees): 5.439 7.393 2.831 90.00 90.00 90.00
Space group Cmmm (No. 65)
One atom of each set of equivalent atoms:
Mn (0.250, 0.250, 0.000)
Be (0.000, 0.000, 0.500)
Cd (0.000, 0.500, 0.500)

Size of the total moment: 6.17 μB/f.u.



Stability comparison, relative energies in eV/atom: version P 0.000; version Q 0.144; version R 0.246



Version P
## Mn2BeCd (PBE)

Data for a geometry-optimized Mn2BeCd structure.

Lattice parameters (Å, degrees): 2.865 4.449 8.820 90.00 90.00 90.00
Space group Imm2 (No. 44)
One atom of each set of equivalent atoms:
Mn (0.000, 0.000, 0.000)
Mn (0.000, 0.500, 0.232)
Be (0.000, 0.500, 0.714)
Cd (0.000, 0.000, 0.449)

Size of the total moment: 6.31 μB/f.u.



Version Q
## Mn2BeCd (PBE)

Data for a geometry-optimized Mn2BeCd structure.

Lattice parameters (Å, degrees): 3.495 3.495 17.785 90.00 90.00 90.00
Space group I-42d (No. 122)
One atom of each set of equivalent atoms:
Mn (0.174, 0.250, 0.125)
Be (0.000, 0.000, 0.000)
Cd (0.000, 0.000, 0.500)

Size of the total moment: 0.00 μB/f.u.



Version R
## Mn2BeCd (PBE)

Data for a geometry-optimized Mn2BeCd structure.

Lattice parameters (Å, degrees): 3.835 3.835 7.748 90.00 90.00 90.00
Space group I-4m2 (No. 119)
One atom of each set of equivalent atoms:
Mn (0.000, 0.000, 0.000)
Mn (0.000, 0.500, 0.250)
Be (0.000, 0.500, 0.750)
Cd (0.000, 0.000, 0.500)

Size of the total moment: 6.37 μB/f.u.



Version S
## Mn2BeCd (PBE)

Data for a geometry-optimized Mn2BeCd structure.

Lattice parameters (Å, degrees): 3.842 3.842 3.809 90.00 90.00 90.00
Space group P4/mmm (No. 123)
One atom of each set of equivalent atoms:
Mn (0.000, 0.500, 0.000)
Be (0.000, 0.000, 0.500)
Cd (0.500, 0.500, 0.500)

Size of the total moment: 6.16 μB/f.u.



Stability comparison, relative energies in eV/atom: version P 0.018; version Q 0.379; version R 0.085; version S 0.000